*A*
Density functional theory data (PBE-GGA) for a relaxed HoZnCu3 crystal.

Results
Mass density: 8.531 g/cm3
Total magnetization: 0.000 μB per atom
Density of states at the Fermi level: 2.90 states/eV/cell

a = 3.8054 Å, b = 3.8054 Å, c = 6.2659 Å
α = 107.68°, β = 107.68°, γ = 90.00°
With the nearest neighbours (Å) after each atom.
Sites, in units of the cell vectors:
Cu 0.2714 0.7714 0.5428  6 Cu 2.47-2.69, 2 Zn 2.49
Ho 0.0071 0.0071 0.0142  4 Cu 2.90, 4 Zn 3.02
Cu 0.7714 0.2714 0.5428  6 Cu 2.47-2.69, 2 Zn 2.49
Cu 0.4112 0.4112 0.8224  1 Zn 2.47, 4 Cu 2.47
Zn 0.6291 0.6291 0.2582  5 Cu 2.47-2.49

=====

*B*
Density functional theory data (PBE-GGA) for a relaxed HoZnCu3 crystal.

Results
Mass density: 8.629 g/cm3
Total magnetization: 0.000 μB per atom
Density of states at the Fermi level: 5.89 states/eV/cell

a = 5.0134 Å, b = 9.2141 Å, c = 6.3097 Å
α = 136.90°, β = 113.41°, γ = 90.00°
With the nearest neighbours (Å) after each atom.
Sites, in units of the cell vectors:
Cu 0.7500 0.0604 0.5000  2 Zn 2.48, 6 Cu 2.56-2.74
Zn 0.0000 0.5000 0.0000  6 Cu 2.48-2.65
Cu 0.8084 0.3084 0.1167  5 Cu 2.51-2.69, 2 Zn 2.65
Ho 0.2500 0.2437 0.5000  7 Cu 2.80-3.02, 4 Zn 3.06
Cu 0.3084 0.3084 0.1167  5 Cu 2.51-2.69, 2 Zn 2.65
Zn 0.5000 0.0000 0.0000  6 Cu 2.48-2.65
Cu 0.6916 0.6916 0.8833  5 Cu 2.51-2.69, 2 Zn 2.65
Cu 0.2500 0.9396 0.5000  2 Zn 2.48, 6 Cu 2.56-2.74
Ho 0.7500 0.7563 0.5000  7 Cu 2.80-3.02, 4 Zn 3.06
Cu 0.1916 0.6916 0.8833  5 Cu 2.51-2.69, 2 Zn 2.65

=====

Stability check: which of them is most stable? *A*.

=====

*A*
Density functional theory data (PBE-GGA) for a relaxed Ho3Zn3Cu2 crystal.

Results
Mass density: 8.376 g/cm3
Total magnetization: 0.000 μB per atom
Density of states at the Fermi level: 7.20 states/eV/cell

a = 3.7901 Å, b = 7.0294 Å, c = 7.0294 Å
α = 120.00°, β = 90.00°, γ = 90.00°
With the nearest neighbours (Å) after each atom.
Sites, in units of the cell vectors:
Zn 0.0000 0.7685 0.7685  2 Cu 2.77, 2 Zn 2.82
Zn 0.0000 0.2315 0.0000  2 Cu 2.77, 2 Zn 2.82
Cu 0.0000 0.3333 0.6667  3 Zn 2.77, 6 Ho 2.86
Zn 0.0000 0.0000 0.2315  2 Cu 2.77, 2 Zn 2.82
Ho 0.5000 0.0000 0.5977  4 Cu 2.86, 6 Zn 3.10-3.20
Cu 0.0000 0.6667 0.3333  3 Zn 2.77, 6 Ho 2.86
Ho 0.5000 0.4023 0.4023  4 Cu 2.86, 6 Zn 3.10-3.20
Ho 0.5000 0.5977 0.0000  4 Cu 2.86, 6 Zn 3.10-3.20

=====

*B*
Density functional theory data (PBE-GGA) for a relaxed Ho3Zn3Cu2 crystal.

Results
Mass density: 8.551 g/cm3
Total magnetization: 0.000 μB per atom
Density of states at the Fermi level: 11.39 states/eV/cell

a = 4.4029 Å, b = 5.3814 Å, c = 14.6956 Å
α = 90.00°, β = 90.00°, γ = 114.15°
With the nearest neighbours (Å) after each atom.
Sites, in units of the cell vectors:
Cu 0.7959 0.5918 0.6008  4 Zn 2.51-2.73
Ho 0.3771 0.7543 0.7500  5 Zn 2.88-3.07, 4 Cu 3.21
Zn 0.3830 0.7661 0.9589  3 Cu 2.52-2.73, 1 Zn 2.60
Zn 0.6705 0.3410 0.7500  2 Cu 2.51
Ho 0.6229 0.2457 0.2500  5 Zn 2.88-3.07, 4 Cu 3.21
Cu 0.2041 0.4082 0.1008  4 Zn 2.51-2.73
Zn 0.6170 0.2339 0.4589  3 Cu 2.52-2.73, 1 Zn 2.60
Cu 0.2041 0.4082 0.3992  4 Zn 2.51-2.73
Ho 0.0907 0.1814 0.8938  4 Cu 2.90-3.24, 7 Zn 3.03-3.15
Ho 0.0907 0.1814 0.6062  4 Cu 2.90-3.24, 7 Zn 3.03-3.15
Ho 0.9093 0.8186 0.3938  4 Cu 2.90-3.24, 7 Zn 3.03-3.15
Zn 0.3830 0.7661 0.5411  3 Cu 2.52-2.73, 1 Zn 2.60
Cu 0.7959 0.5918 0.8992  4 Zn 2.51-2.73
Zn 0.3295 0.6590 0.2500  2 Cu 2.51
Ho 0.9093 0.8186 0.1062  4 Cu 2.90-3.24, 7 Zn 3.03-3.15
Zn 0.6170 0.2339 0.0411  3 Cu 2.52-2.73, 1 Zn 2.60

=====

Stability check: which of them is most stable? *B*.